1.
# Ca3Ac12Ho

A relaxed Ca3Ac12Ho crystal (PBE-GGA, Alexandria).

Lattice parameters (Å, degrees): 5.569 5.569 22.301 90.00 90.00 90.00
Sites, in units of the cell vectors:
1 Ca 0.000 0.000 0.248
2 Ca 0.000 0.000 0.500
3 Ca 0.000 0.000 0.752
4 Ac 0.500 0.500 0.000
5 Ac 0.500 0.500 0.248
6 Ac 0.500 0.500 0.500
7 Ac 0.500 0.500 0.752
8 Ac 0.500 0.000 0.120
9 Ac 0.500 0.000 0.374
10 Ac 0.500 0.000 0.626
11 Ac 0.500 0.000 0.880
12 Ac 0.000 0.500 0.120
13 Ac 0.000 0.500 0.374
14 Ac 0.000 0.500 0.626
15 Ac 0.000 0.500 0.880
16 Ho 0.000 0.000 0.000

Summary:
crystal system = tetragonal
E_form = 0.026 eV per atom
E_tot = -59.46 eV/cell
SG = P4/mmm, No. 123
DOS(E_F) = 1.341 states/eV per atom

2.
# CaAcHo2

A relaxed CaAcHo2 crystal (PBE-GGA, Alexandria).

Lattice parameters (Å, degrees): 3.726 3.726 12.267 81.27 81.27 60.00
Sites, in units of the cell vectors:
1 Ca 0.500 0.500 0.499
2 Ac 0.666 0.666 0.001
3 Ho 0.082 0.082 0.754
4 Ho 0.251 0.251 0.246

Summary:
crystal system = trigonal
E_form = 0.103 eV per atom
E_tot = -14.85 eV/cell
E above lowest polymorph = 0 meV/atom
SG = R3m, No. 160
DOS(E_F) = 1.734 states/eV per atom

3.
# CaAcHo

A relaxed CaAcHo crystal (PBE-GGA, Alexandria).

Lattice parameters (Å, degrees): 3.777 6.020 10.457 90.00 100.40 90.00
Sites, in units of the cell vectors:
1 Ca 0.786 0.250 0.571
2 Ca 0.214 0.750 0.429
3 Ac 0.894 0.750 0.788
4 Ac 0.106 0.250 0.212
5 Ho 0.451 0.250 0.903
6 Ho 0.549 0.750 0.097

Summary:
crystal system = orthorhombic
E_form = 0.056 eV per atom
E_tot = -21.04 eV/cell
E above lowest polymorph = 7 meV/atom
SG = Cmcm, No. 63
DOS(E_F) = 1.574 states/eV per atom

4.
# Ca2AcHo

A relaxed Ca2AcHo crystal (PBE-GGA, Alexandria).

Lattice parameters (Å, degrees): 5.738 5.224 5.224 90.00 90.00 90.00
Sites, in units of the cell vectors:
1 Ac 0.500 0.000 0.000
2 Ca 0.000 0.000 0.500
3 Ca 0.000 0.500 0.000
4 Ho 0.500 0.500 0.500

Summary:
crystal system = tetragonal
E_form = 0.147 eV per atom
E_tot = -12.10 eV/cell
E above lowest polymorph = 44 meV/atom
SG = P4/mmm, No. 123
DOS(E_F) = 1.754 states/eV per atom